# GGA-PBE La8Ho3Sc, relaxed
data_La8Ho3Sc
_chemical_formula_sum 'La16 Ho6 Sc2'
_cell_length_a 8.7555
_cell_length_b 8.7555
_cell_length_c 11.7832
_cell_angle_alpha 90.00
_cell_angle_beta 90.00
_cell_angle_gamma 90.00
_symmetry_space_group_name_H-M 'I -4 2 m'
_symmetry_Int_Tables_number 121
_symmetry_space_group_name_Hall 'I -4 2'
loop_
_atom_site_label
_atom_site_fract_x
_atom_site_fract_y
_atom_site_fract_z
La1 0.1253 0.1253 0.2460
La2 0.2432 0.2432 0.9863
Ho1 0.0000 0.0000 0.5000
Ho2 0.0000 0.5000 0.2500
Sc1 0.0000 0.0000 0.0000
# DFT total energy = -4.45 eV/atom
# formation energy = 0.51 eV per atom
# density of states at the Fermi level = 1.830 states/eV/atom


# GGA-PBE La2Ho4Sc, relaxed
data_La2Ho4Sc
_chemical_formula_sum 'La8 Ho16 Sc4'
_cell_length_a 6.6665
_cell_length_b 11.9683
_cell_length_c 11.4402
_cell_angle_alpha 90.00
_cell_angle_beta 90.08
_cell_angle_gamma 90.00
_symmetry_space_group_name_H-M 'C 1 2/c 1'
_symmetry_Int_Tables_number 15
loop_
_symmetry_equiv_pos_as_xyz
'x,y,z'
'-x,-y,-z'
'-x,y,-z+1/2'
'x,-y,z+1/2'
'x+1/2,y+1/2,z'
'-x+1/2,-y+1/2,-z'
'-x+1/2,y+1/2,-z+1/2'
'x+1/2,-y+1/2,z+1/2'
loop_
_atom_site_label
_atom_site_fract_x
_atom_site_fract_y
_atom_site_fract_z
La1 0.0000 0.0266 0.2500
La2 0.0000 0.3144 0.2500
Ho1 0.0000 0.2262 0.5452
Ho2 0.2241 0.5000 0.9996
Sc1 0.0000 0.4012 0.7500
# relative energy among the computed polymorphs = 0 meV per atom
# DFT total energy = -4.75 eV/atom
# formation energy = 0.18 eV per atom
# density of states at the Fermi level = 1.444 states/eV/atom


# GGA-PBE LaHo6Sc4, relaxed
data_LaHo6Sc4
_chemical_formula_sum 'La2 Ho12 Sc8'
_cell_length_a 7.2842
_cell_length_b 7.2842
_cell_length_c 12.9480
_cell_angle_alpha 90.00
_cell_angle_beta 90.00
_cell_angle_gamma 90.00
_symmetry_space_group_name_H-M 'I -4 2 m'
_symmetry_Int_Tables_number 121
_symmetry_space_group_name_Hall 'I -4 2'
loop_
_atom_site_label
_atom_site_fract_x
_atom_site_fract_y
_atom_site_fract_z
La1 0.0000 0.0000 0.0000
Ho1 0.0000 0.5000 0.0000
Ho2 0.2453 0.2453 0.1938
Sc1 0.1520 0.1520 0.4215
# relative energy among the computed polymorphs = 245 meV per atom
# DFT total energy = -4.89 eV/atom
# formation energy = 0.36 eV per atom
# density of states at the Fermi level = 1.418 states/eV/atom


# GGA-PBE La4Ho4Sc, relaxed
data_La4Ho4Sc
_chemical_formula_sum 'La8 Ho8 Sc2'
_cell_length_a 6.0580
_cell_length_b 6.0580
_cell_length_c 19.1679
_cell_angle_alpha 90.00
_cell_angle_beta 90.00
_cell_angle_gamma 90.00
_symmetry_space_group_name_H-M 'I -4 2 m'
_symmetry_Int_Tables_number 121
_symmetry_space_group_name_Hall 'I -4 2'
loop_
_atom_site_label
_atom_site_fract_x
_atom_site_fract_y
_atom_site_fract_z
La1 0.0000 0.0000 0.1404
La2 0.0000 0.5000 0.0000
Ho1 0.1814 0.1814 0.2961
Sc1 0.0000 0.0000 0.0000
# DFT total energy = -4.27 eV/atom
# formation energy = 0.66 eV per atom
# density of states at the Fermi level = 1.426 states/eV/atom


# GGA-PBE La4Ho3Sc, relaxed
data_La4Ho3Sc
_chemical_formula_sum 'La8 Ho6 Sc2'
_cell_length_a 25.1731
_cell_length_b 3.4360
_cell_length_c 6.1431
_cell_angle_alpha 90.00
_cell_angle_beta 93.93
_cell_angle_gamma 90.00
_symmetry_space_group_name_H-M 'C 1 2/m 1'
_symmetry_Int_Tables_number 12
loop_
_symmetry_equiv_pos_as_xyz
'x,y,z'
'-x,-y,-z'
'-x,y,-z'
'x,-y,z'
'x+1/2,y+1/2,z'
'-x+1/2,-y+1/2,-z'
'-x+1/2,y+1/2,-z'
'x+1/2,-y+1/2,z'
loop_
_atom_site_label
_atom_site_fract_x
_atom_site_fract_y
_atom_site_fract_z
La1 0.1022 0.0000 0.2183
La2 0.2184 0.5000 0.2421
Ho1 0.0000 0.0000 0.5000
Ho2 0.1412 0.0000 0.7260
Sc1 0.0000 0.5000 0.0000
# relative energy among the computed polymorphs = 218 meV per atom
# DFT total energy = -4.73 eV/atom
# formation energy = 0.24 eV per atom
# density of states at the Fermi level = 1.514 states/eV/atom


# GGA-PBE La4Ho7Sc, relaxed
data_La4Ho7Sc
_chemical_formula_sum 'La8 Ho14 Sc2'
_cell_length_a 11.5424
_cell_length_b 5.3597
_cell_length_c 13.1937
_cell_angle_alpha 90.00
_cell_angle_beta 104.82
_cell_angle_gamma 90.00
_symmetry_space_group_name_H-M 'C 1 2/m 1'
_symmetry_Int_Tables_number 12
loop_
_symmetry_equiv_pos_as_xyz
'x,y,z'
'-x,-y,-z'
'-x,y,-z'
'x,-y,z'
'x+1/2,y+1/2,z'
'-x+1/2,-y+1/2,-z'
'-x+1/2,y+1/2,-z'
'x+1/2,-y+1/2,z'
loop_
_atom_site_label
_atom_site_fract_x
_atom_site_fract_y
_atom_site_fract_z
La1 0.0377 0.0000 0.2820
La2 0.1817 0.5000 0.7597
Ho1 0.0000 0.5000 0.5000
Ho2 0.0901 0.5000 0.1277
Ho3 0.1365 0.0000 0.9665
Ho4 0.2325 0.5000 0.4022
Sc1 0.0000 0.0000 0.5000
# DFT total energy = -4.65 eV/atom
# formation energy = 0.19 eV per atom
# density of states at the Fermi level = 1.466 states/eV/atom